VASP calculation (PBE-GGA) on a geometry-optimized Mg6Tl2Pb3 structure.

Cell: 3.5401 3.5401 78.5600 Å, 90.00 90.00 120.00°
Space group R-3m (No. 166, hexagonal axes)
One atom of each set of equivalent atoms:
Mg  0.0000  0.0000  0.0918 x6
Mg  0.0000  0.0000  0.1820 x6
Mg  0.0000  0.0000  0.3639 x6
Tl  0.0000  0.0000  0.4547 x6
Pb  0.0000  0.0000  0.0000 x3
Pb  0.0000  0.0000  0.2722 x6

Computed properties:
DFT total energy   -2.33 eV per atom
E_form   -19 meV/atom



VASP calculation (PBE-GGA) on a geometry-optimized Na4CdO3 structure.

Cell: 11.720 5.960 8.222 Å, 90.00 112.26 90.00°
Space group Cc (No. 9)
One atom of each set of equivalent atoms:
Na  0.000  0.146  0.000 x4
Na  0.240  0.155  0.396 x4
Na  0.313  0.285  0.091 x4
Na  0.394  0.158  0.790 x4
Cd  0.131  0.356  0.677 x4
O  0.185  0.022  0.624 x4
O  0.310  0.500  0.338 x4
O  0.453  0.003  0.574 x4

Computed properties:
DFT total energy   -3.83 eV per atom
Formation energy from raw total energies   -116 kJ/mol of atoms



VASP calculation (PBE-GGA) on a geometry-optimized Gd2PuBi structure.

Cell: 3.5653 3.5653 32.9433 Å, 90.00 90.00 120.00°
Space group R-3m (No. 166, hexagonal axes)
One atom of each set of equivalent atoms:
Gd  0.0000  0.0000  0.2489 x6
Pu  0.0000  0.0000  0.0000 x3
Bi  0.0000  0.0000  0.5000 x3

Computed properties:
DFT total energy   -11.71 eV per atom
E_form   -119 meV/atom



VASP calculation (PBE-GGA) on a geometry-optimized Hf2H2Rh structure.

Cell: 6.371 6.371 3.009 Å, 90.00 90.00 90.00°
Space group P4/mbm (No. 127)
One atom of each set of equivalent atoms:
Hf  0.167  0.333  0.000 x4
H  0.104  0.604  0.500 x4
Rh  0.000  0.000  0.500 x2

Computed properties:
DFT total energy   -7.00 eV per atom



VASP calculation (PBE-GGA) on a geometry-optimized KTa2Ag structure.

Cell: 3.353 3.353 8.923 Å, 90.00 90.00 90.00°
Space group P4mm (No. 99)
One atom of each set of equivalent atoms:
K  0.000  0.000  0.000 x1
Ta  0.000  0.000  0.506 x1
Ta  0.500  0.500  0.352 x1
Ag  0.500  0.500  0.703 x1

Computed properties:
DFT total energy   -6.28 eV per atom
E_form   637 meV/atom



VASP calculation (PBE-GGA) on a geometry-optimized Tc3Br structure.

Cell: 2.960 9.525 4.441 Å, 90.00 90.00 90.00°
Space group Imm2 (No. 44)
One atom of each set of equivalent atoms:
Tc  0.000  0.000  0.000 x2
Tc  0.000  0.286  0.718 x4
Br  0.000  0.500  0.048 x2

Computed properties:
DFT total energy   -7.53 eV per atom
Formation energy from raw total energies   64 kJ/mol of atoms



VASP calculation (PBE-GGA) on a geometry-optimized NaVS2 structure.

Cell: 4.0445 4.0445 23.0277 Å, 90.00 90.00 120.00°
Space group R-3m (No. 166, hexagonal axes)
One atom of each set of equivalent atoms:
Na  0.0000  0.0000  0.0000 x3
V  0.0000  0.0000  0.5000 x3
S  0.0000  0.0000  0.4068 x6

Computed properties:
DFT total energy   -4.84 eV per atom
Formation energy from raw total energies   -16 kJ/mol of atoms



VASP calculation (PBE-GGA) on a geometry-optimized AcYSiPd structure.

Cell: 7.394 7.394 7.394 Å, 90.00 90.00 90.00°
Space group F-43m (No. 216)
One atom of each set of equivalent atoms:
Ac  0.000  0.000  0.000 x4
Y  0.000  0.000  0.500 x4
Si  0.250  0.250  0.250 x4
Pd  0.250  0.250  0.750 x4

Computed properties:
DFT total energy   -5.88 eV per atom
Formation energy from raw total energies   -56 kJ/mol of atoms